Entry 1:
# CaIr

An optimized crystal structure of CaIr (GGA-PBE, Alexandria via LeMat-Bulk).

Calculated values
Fermi-level density of states	1.25	states/eV/f.u.
crystal system	orthorhombic
ΔE_f	-0.110	eV/atom
magnetic moment	0.00	μB per formula unit
raw total energy	-44.3	eV for the cell shown

a = 8.519 Å, b = 7.862 Å, c = 5.051 Å
α = 79.30°, β = 65.07°, γ = 35.63°
Sites, in units of the cell vectors:
Ca (0.043, 0.707, 0.043)
Ca (0.293, 0.957, 0.293)
Ca (0.707, 0.043, 0.707)
Ca (0.957, 0.293, 0.957)
Ir (0.290, 0.290, 0.460)
Ir (0.460, 0.460, 0.290)
Ir (0.540, 0.540, 0.710)
Ir (0.710, 0.710, 0.540)

Entry 2:
# LaTiAlPbO6

An optimized crystal structure of LaTiAlPbO6 (GGA-PBE, Alexandria via LeMat-Bulk).

Calculated values
Fermi-level density of states	0.00	states/eV/f.u.
formation energy (no corrections)	-2775	meV/atom
crystal system	orthorhombic
magnetic moment	0.00	μB per formula unit
excess energy over the best structure of this formula in the dataset	0.000	eV per atom
raw total energy	-311.1	eV for the cell shown

a = 5.490 Å, b = 3.900 Å, c = 22.063 Å
α = 90.00°, β = 90.00°, γ = 90.00°
Sites, in units of the cell vectors:
La (0.250, 0.000, 0.061)
La (0.250, 0.000, 0.820)
La (0.750, 0.000, 0.180)
La (0.750, 0.000, 0.939)
Ti (0.250, 0.500, 0.434)
Ti (0.250, 0.500, 0.694)
Ti (0.750, 0.500, 0.306)
Ti (0.750, 0.500, 0.566)
Al (0.250, 0.500, 0.181)
Al (0.250, 0.500, 0.940)
Al (0.750, 0.500, 0.060)
Al (0.750, 0.500, 0.819)
Pb (0.250, 0.000, 0.303)
Pb (0.250, 0.000, 0.561)
Pb (0.750, 0.000, 0.439)
Pb (0.750, 0.000, 0.697)
O (0.000, 0.500, 0.000)
O (0.000, 0.500, 0.500)
O (0.002, 0.500, 0.629)
O (0.002, 0.500, 0.759)
O (0.002, 0.500, 0.879)
O (0.250, 0.000, 0.179)
O (0.250, 0.000, 0.437)
O (0.250, 0.000, 0.699)
O (0.250, 0.000, 0.939)
O (0.498, 0.500, 0.629)
O (0.498, 0.500, 0.759)
O (0.498, 0.500, 0.879)
O (0.500, 0.500, 0.000)
O (0.500, 0.500, 0.500)
O (0.502, 0.500, 0.121)
O (0.502, 0.500, 0.241)
O (0.502, 0.500, 0.371)
O (0.750, 0.000, 0.061)
O (0.750, 0.000, 0.301)
O (0.750, 0.000, 0.563)
O (0.750, 0.000, 0.821)
O (0.998, 0.500, 0.121)
O (0.998, 0.500, 0.241)
O (0.998, 0.500, 0.371)

Entry 3:
# AcCe3Pd3

An optimized crystal structure of AcCe3Pd3 (GGA-PBE, Alexandria via LeMat-Bulk).

Calculated values
Fermi-level density of states	21.39	states/eV/f.u.
crystal system	cubic
ΔE_f	-0.086	eV/atom
magnetic moment	4.36	μB per formula unit
raw total energy	-76.2	eV for the cell shown

a = 7.781 Å, b = 7.781 Å, c = 7.781 Å
α = 90.00°, β = 90.00°, γ = 90.00°
Sites, in units of the cell vectors:
Ac (0.000, 0.000, 0.000)
Ac (0.500, 0.500, 0.500)
Ce (0.000, 0.250, 0.500)
Ce (0.000, 0.750, 0.500)
Ce (0.250, 0.500, 0.000)
Ce (0.500, 0.000, 0.250)
Ce (0.500, 0.000, 0.750)
Ce (0.750, 0.500, 0.000)
Pd (0.000, 0.500, 0.250)
Pd (0.000, 0.500, 0.750)
Pd (0.250, 0.000, 0.500)
Pd (0.500, 0.250, 0.000)
Pd (0.500, 0.750, 0.000)
Pd (0.750, 0.000, 0.500)

Entry 4:
# TiSi3W

An optimized crystal structure of TiSi3W (GGA-PBE, Alexandria via LeMat-Bulk).

Calculated values
Fermi-level density of states	7.70	states/eV/f.u.
formation energy (no corrections)	805	meV/atom
crystal system	cubic
magnetic moment	2.19	μB per formula unit
excess energy over the best structure of this formula in the dataset	0.000	eV per atom
raw total energy	-33.1	eV for the cell shown

a = 4.709 Å, b = 4.709 Å, c = 4.709 Å
α = 90.00°, β = 90.00°, γ = 90.00°
Sites, in units of the cell vectors:
Ti (0.000, 0.000, 0.000)
Si (0.000, 0.500, 0.500)
Si (0.500, 0.000, 0.500)
Si (0.500, 0.500, 0.000)
W (0.500, 0.500, 0.500)